# SmY5In2 | the Alexandria database | PBE | relaxed
# uncorrected energy = -0.202 hartree per atom
# total magnetic moment = 0.0 μB/f.u.
# Fermi-level density of states = 1.2004 states/eV/atom
# formation energy = -0.172 eV/atom
data_SmY5In2
_cell_length_a 5.2457
_cell_length_b 6.4776
_cell_length_c 15.8448
_cell_angle_alpha 90.00
_cell_angle_beta 90.00
_cell_angle_gamma 113.89
_symmetry_space_group_name_H-M 'P 1'
_symmetry_Int_Tables_number 1
loop_
_symmetry_equiv_pos_as_xyz
'x,y,z'
loop_
_atom_site_label
_atom_site_type_symbol
_atom_site_fract_x
_atom_site_fract_y
_atom_site_fract_z
In1 In 0.7732 0.5463 0.1405
In2 In 0.2268 0.4537 0.8595
In3 In 0.7732 0.5463 0.3595
In4 In 0.2268 0.4537 0.6405
Y1 Y 0.9601 0.9202 0.6046
Y2 Y 0.9601 0.9202 0.8954
Y3 Y 0.0399 0.0798 0.3954
Y4 Y 0.6427 0.2854 0.9688
Y5 Y 0.0399 0.0798 0.1046
Y6 Y 0.4602 0.9204 0.7500
Y7 Y 0.6427 0.2854 0.5312
Y8 Y 0.3573 0.7146 0.0312
Y9 Y 0.5398 0.0796 0.2500
Y10 Y 0.3573 0.7146 0.4688
Sm1 Sm 0.2604 0.5208 0.2500
Sm2 Sm 0.7396 0.4792 0.7500

=====

# Sm4Y2In | the Alexandria database | PBE | relaxed
# uncorrected energy = -0.184 hartree per atom
# total magnetic moment = 0.0 μB/f.u.
# Fermi-level density of states = 1.4768 states/eV/atom
# formation energy = -0.074 eV/atom
data_Sm4Y2In
_cell_length_a 3.6608
_cell_length_b 3.6608
_cell_length_c 19.7406
_cell_angle_alpha 84.68
_cell_angle_beta 84.68
_cell_angle_gamma 60.00
_symmetry_space_group_name_H-M 'P 1'
_symmetry_Int_Tables_number 1
loop_
_symmetry_equiv_pos_as_xyz
'x,y,z'
loop_
_atom_site_label
_atom_site_type_symbol
_atom_site_fract_x
_atom_site_fract_y
_atom_site_fract_z
Sm1 Sm 0.9064 0.9064 0.2807
Sm2 Sm 0.0936 0.0936 0.7193
Sm3 Sm 0.2901 0.2901 0.1297
Sm4 Sm 0.7099 0.7099 0.8703
Y1 Y 0.1907 0.1907 0.4278
Y2 Y 0.8093 0.8093 0.5722
In1 In 0.0000 0.0000 0.0000

=====

# SmY5In6 | the Alexandria database | PBE | relaxed
# uncorrected energy = -0.182 hartree per atom
# total magnetic moment = 0.0 μB/f.u.
# Fermi-level density of states = 0.4583 states/eV/atom
# formation energy = -0.498 eV/atom
data_SmY5In6
_cell_length_a 5.3419
_cell_length_b 9.2560
_cell_length_c 9.2560
_cell_angle_alpha 120.19
_cell_angle_beta 106.77
_cell_angle_gamma 106.77
_symmetry_space_group_name_H-M 'P 1'
_symmetry_Int_Tables_number 1
loop_
_symmetry_equiv_pos_as_xyz
'x,y,z'
loop_
_atom_site_label
_atom_site_type_symbol
_atom_site_fract_x
_atom_site_fract_y
_atom_site_fract_z
In1 In 0.2528 0.0845 0.4210
In2 In 0.2443 0.7445 0.7445
In3 In 0.2528 0.4210 0.0845
In4 In 0.7472 0.9155 0.5790
In5 In 0.7472 0.5790 0.9155
In6 In 0.7557 0.2555 0.2555
Y1 Y 0.5000 0.5000 0.5000
Y2 Y 0.0000 0.6673 0.3327
Y3 Y 0.5000 0.1648 0.8352
Y4 Y 0.0000 0.3327 0.6673
Y5 Y 0.5000 0.8352 0.1648
Sm1 Sm 0.0000 0.0000 0.0000